No. 1
10
Lattice="7.074 0.000 0.000 0.000 7.074 0.000 0.000 0.000 3.647" Properties=species:S:1:pos:R:3 comment="Hf3Ge2 SCAN PBEsol geometry" space_group="P4/mbm (127)" formation_enthalpy_0k_ev_per_atom=-0.77 pbc="T T T"
Hf 0.000 0.000 0.000
Hf 1.207 2.330 1.824
Hf 2.330 5.867 1.824
Hf 3.537 3.537 0.000
Hf 4.744 1.207 1.824
Hf 5.867 4.744 1.824
Ge 0.923 4.460 0.000
Ge 2.615 0.923 0.000
Ge 4.460 6.152 0.000
Ge 6.152 2.615 0.000

=====

No. 2
9
Lattice="8.061 0.000 0.000 -4.030 6.981 0.000 0.000 0.000 4.520" Properties=species:S:1:pos:R:3 comment="PbBr2 SCAN PBEsol geometry" space_group="P-62m (189)" formation_energy_uncorrected_ev_per_fu=-2.7 pbc="T T T"
Pb 0.000 0.000 0.000
Pb 0.000 4.654 2.260
Pb 4.030 2.327 2.260
Br -1.641 2.842 0.000
Br -2.992 5.183 2.260
Br 1.038 1.798 2.260
Br 3.282 0.000 0.000
Br 2.389 4.138 0.000
Br 5.985 0.000 2.260

=====

No. 3
28
Lattice="5.680 0.000 0.000 0.000 7.438 0.000 -5.289 0.000 8.001" Properties=species:S:1:pos:R:3 comment="Na3BO3 SCAN PBEsol geometry" space_group="P2_1/c (14)" formation_energy_uncorrected_ev_per_fu=-15.2 pbc="T T T"
Na -1.997 1.114 3.433
Na -4.642 2.605 7.434
Na -1.226 3.918 3.646
Na -3.871 7.239 7.647
Na 0.818 1.633 2.210
Na -1.826 2.086 6.211
Na 2.217 5.351 1.790
Na -0.427 5.805 5.791
Na 4.262 0.199 0.354
Na 1.618 3.520 4.355
Na 5.033 4.833 0.567
Na 2.389 6.324 4.568
B -2.893 4.917 6.775
B -0.248 6.239 2.774
B 0.640 1.198 5.227
B 3.284 2.520 1.226
O -4.274 4.823 6.972
O -1.629 6.333 2.972
O -2.310 4.338 5.650
O 0.334 6.818 1.649
O 2.507 1.732 0.375
O -0.137 1.987 4.375
O 0.528 5.450 3.626
O -2.116 5.706 7.627
O 0.057 0.619 6.352
O 2.701 3.099 2.352
O 2.021 1.105 5.029
O 4.665 2.614 1.029

=====

No. 4
4
Lattice="4.667 -1.649 0.000 4.667 1.649 0.000 -1.055 0.000 5.318" Properties=species:S:1:pos:R:3 comment="MgZn2Pb SCAN PBEsol geometry" space_group="C2/m (12)" formation_enthalpy_0k_ev_per_atom=0.07 polymorph_energy_mev_per_atom=0 pbc="T T T"
Mg 0.000 0.000 0.000
Zn 1.540 0.000 4.281
Zn 6.740 0.000 1.037
Pb 4.140 0.000 2.659

=====

No. 5
9
Lattice="7.251 0.000 0.000 -3.625 6.279 0.000 0.000 0.000 4.023" Properties=species:S:1:pos:R:3 comment="ThCoSn SCAN PBEsol geometry" space_group="P-62m (189)" formation_enthalpy_0k_ev_per_atom=-0.45 pbc="T T T"
Th -2.122 3.676 0.000
Th 1.503 2.604 0.000
Th 4.244 0.000 0.000
Co 0.000 0.000 0.000
Co 0.000 4.186 2.012
Co 3.625 2.093 2.012
Sn -0.900 1.558 2.012
Sn 1.799 0.000 2.012
Sn 2.726 4.721 2.012

=====

No. 6
5
Lattice="5.783 0.000 0.000 0.000 5.783 0.000 0.000 0.000 5.783" Properties=species:S:1:pos:R:3 comment="LaSnBr3 SCAN PBEsol geometry" space_group="Pm-3m (221)" formation_energy_uncorrected_ev_per_fu=-5.4 pbc="T T T"
La 0.000 0.000 0.000
Sn 2.892 2.892 2.892
Br 0.000 0.000 2.892
Br 0.000 2.892 0.000
Br 2.892 0.000 0.000